1.
Here is BiIr9 after structural relaxation from the Open Quantum Materials Database. Energies are from GGA-PBE.

The structure belongs to space group P4/nmm (No. 129, origin choice 2); the cell edges are 2.796, 2.796 and 50.997 Å and the angles 90.00°, 90.00° and 90.00°. The distinct sites, in fractional coordinates, are Bi at (0.250, 0.250, 0.137), Ir at (0.250, 0.250, 0.220), Ir at (0.250, 0.250, 0.295), Ir at (0.250, 0.250, 0.369), Ir at (0.250, 0.250, 0.444), Ir at (0.250, 0.250, 0.519), Ir at (0.250, 0.250, 0.593), Ir at (0.250, 0.250, 0.668), Ir at (0.250, 0.250, 0.743) and Ir at (0.250, 0.250, 0.817).

Its final energy is -8.189 eV per atom. The value obtained for the energy above the most stable polymorph in this dataset is 83 meV/atom.

***

2.
Here is Zn4B3 after structural relaxation from the Open Quantum Materials Database. Energies are from GGA-PBE.

The structure belongs to space group P6_3/m (No. 176); the cell edges are 6.6787, 6.6787 and 4.4049 Å and the angles 90.00°, 90.00° and 120.00°. The distinct sites, in fractional coordinates, are Zn at (0.0115, 0.7604, 0.2500), Zn at (0.3333, 0.6667, 0.7500) and B at (0.1772, 0.5328, 0.2500).

Its final energy is -2.884 eV per atom. The value obtained for the energy above the most stable polymorph in this dataset is 416 meV/atom.

***

Q: Among the records above, which one has the lowest final energy?
A: BiIr9